[1]
DFT (PBE) results for a relaxed structure of UBe.

## Properties
SG: No. 225
offset from the most stable computed form: 730 meV/atom

Lattice parameters (Å, degrees): 3.692 3.692 3.692 60.00 60.00 60.00
Sites, in units of the cell vectors:
U 0.000 0.000 0.000
Be 0.500 0.500 0.500

=====

[2]
DFT (PBE) results for a relaxed structure of UBe13.

## Properties
SG: No. 226

Lattice parameters (Å, degrees): 7.198 7.198 7.198 60.00 60.00 60.00
Sites, in units of the cell vectors:
U 0.250 0.250 0.250
U 0.750 0.750 0.750
Be 0.000 0.000 0.000
Be 0.060 0.291 0.709
Be 0.060 0.709 0.940
Be 0.060 0.940 0.291
Be 0.209 0.440 0.791
Be 0.209 0.560 0.440
Be 0.209 0.791 0.560
Be 0.291 0.060 0.940
Be 0.291 0.709 0.060
Be 0.291 0.940 0.709
Be 0.440 0.209 0.560
Be 0.440 0.560 0.791
Be 0.440 0.791 0.209
Be 0.500 0.500 0.500
Be 0.560 0.209 0.791
Be 0.560 0.440 0.209
Be 0.560 0.791 0.440
Be 0.709 0.060 0.291
Be 0.709 0.291 0.940
Be 0.709 0.940 0.060
Be 0.791 0.209 0.440
Be 0.791 0.440 0.560
Be 0.791 0.560 0.209
Be 0.940 0.060 0.709
Be 0.940 0.291 0.060
Be 0.940 0.709 0.291

=====

[3]
DFT (PBE) results for a relaxed structure of UBeW.

## Properties
SG: No. 216
offset from the most stable computed form: 0 meV/atom

Lattice parameters (Å, degrees): 4.176 4.176 4.176 60.00 60.00 60.00
Sites, in units of the cell vectors:
U 0.000 0.000 0.000
Be 0.250 0.250 0.250
W 0.500 0.500 0.500

=====

[4]
DFT (PBE) results for a relaxed structure of UBeW.

## Properties
SG: No. 216
offset from the most stable computed form: 801 meV/atom

Lattice parameters (Å, degrees): 4.359 4.359 4.359 60.00 60.00 60.00
Sites, in units of the cell vectors:
U 0.000 0.000 0.000
Be 0.750 0.750 0.750
W 0.250 0.250 0.250

=====

Number 1: M_tot 1.40 μB/f.u., total DFT energy (no corrections) -6.31 eV per atom. Number 2: M_tot 2.25 μB/f.u., total DFT energy (no corrections) -4.36 eV per atom. Number 3: M_tot 0.00 μB/f.u., total DFT energy (no corrections) -8.62 eV per atom. Number 4: M_tot 0.00 μB/f.u., total DFT energy (no corrections) -7.82 eV per atom.